No. 1
Computed, not measured: a relaxed structure of Pr2SnGe at the PBE level of DFT.

Results
**ρ**: 6905 kg/m3
**ΔE_f**: -3.2 eV/f.u.

abc: 6.2347 4.2401 9.0335
angles: 90.00 107.63 90.00
Last column: nearest neighbours and their distance in Å.
Space group P2_1/m (No. 11)
One atom of each set of equivalent atoms:
Pr (0.1945, 0.2500, 0.4231) x2  2 Ge 3.14, 4 Sn 3.25-3.39
Pr (0.2819, 0.7500, 0.0613) x2  3 Ge 3.14-3.16, 3 Sn 3.26-3.40
Sn (0.3761, 0.7500, 0.7095) x2  2 Ge 2.89
Ge (0.1199, 0.2500, 0.7943) x2  2 Sn 2.89, 5 Pr 3.14-3.16

---

No. 2
Computed, not measured: a relaxed structure of SrLaAsBr2 at the PBE level of DFT.

Results
**Energy above the most stable polymorph in this dataset**: 0.3411 eV per atom
**ρ**: 4120 kg/m3
**ΔE_f (raw)**: -0.911 eV per atom

abc: 5.4938 5.4938 6.1593
angles: 90.00 90.00 90.00
Last column: nearest neighbours and their distance in Å.
Space group P4/mmm (No. 123)
One atom of each set of equivalent atoms:
Sr (0.0000, 0.0000, 0.0000) x1  4 Br 2.75
La (0.5000, 0.5000, 0.5000) x1  4 As 3.88, 8 Br 4.13
As (0.0000, 0.0000, 0.5000) x1  2 Sr 3.08
Br (0.0000, 0.5000, 0.0000) x2  2 Sr 2.75

---

No. 3
Computed, not measured: a relaxed structure of Pm2YIrO8 at the PBE level of DFT.

Results
**ρ**: 6350 kg/m3
**ΔE_f (raw)**: -2.275 eV per atom

abc: 7.2250 7.3152 6.9180
angles: 90.00 90.00 90.00
Last column: nearest neighbours and their distance in Å.
Space group Cmmm (No. 65)
One atom of each set of equivalent atoms:
Pm (0.0000, 0.0000, 0.2500) x4  6 O 2.24-2.44
Y (0.0000, 0.5000, 0.0000) x2  6 O 2.19-2.40
Ir (0.0000, 0.5000, 0.5000) x2  6 O 1.89-1.95
O (0.0000, 0.3216, 0.2907) x8  1 Ir 1.95
O (0.1966, 0.0000, 0.0000) x4  1 Y 2.19, 2 Pm 2.24
O (0.2378, 0.0000, 0.5000) x4  1 Ir 1.89

---

No. 4
Computed, not measured: a relaxed structure of ReAgP at the PBE level of DFT.

Results
**Energy above the most stable polymorph in this dataset**: 0.0645 eV per atom
**ρ**: 10729 kg/m3
**ΔE_f**: 0.3 eV/f.u.

abc: 5.2882 2.9599 6.6870
angles: 90.00 105.99 90.00
Last column: nearest neighbours and their distance in Å.
Space group Pm (No. 6)
One atom of each set of equivalent atoms:
Re (0.0000, 0.0000, 0.0000) x1  3 P 2.34-2.37
Re (0.4389, 0.5000, 0.0103) x1  3 P 2.34-2.37
Ag (0.4357, 0.0000, 0.3881) x1  1 P 2.51
Ag (0.9187, 0.5000, 0.3554) x1  1 P 2.49
P (0.0460, 0.5000, 0.7422) x1  3 Re 2.34, 1 Ag 2.49
P (0.5655, 0.0000, 0.7780) x1  3 Re 2.37, 1 Ag 2.51

---

No. 5
Computed, not measured: a relaxed structure of SnBi2Pt2 at the PBE level of DFT.

Results
**Energy above the most stable polymorph in this dataset**: 0.3793 eV per atom
**ρ**: 12025 kg/m3
**ΔE_f**: 0.2 eV/f.u.

abc: 4.6846 4.6846 11.6640
angles: 90.00 90.00 90.00
Last column: nearest neighbours and their distance in Å.
Space group I4/mmm (No. 139)
One atom of each set of equivalent atoms:
Sn (0.0000, 0.0000, 0.0000) x2  8 Pt 3.56, 8 Bi 3.74
Bi (0.0000, 0.5000, 0.2500) x4  4 Pt 2.84
Pt (0.0000, 0.0000, 0.3875) x4  1 Pt 2.62, 4 Bi 2.84

---

No. 6
Computed, not measured: a relaxed structure of CeErTm2 at the PBE level of DFT.

Results
**Energy above the most stable polymorph in this dataset**: 0.0400 eV per atom
**ρ**: 8907 kg/m3
**ΔE_f**: 0.3 eV/f.u.

abc: 3.4895 3.4895 9.8792
angles: 90.00 90.00 90.00
Last column: nearest neighbours and their distance in Å.
Space group P4/mmm (No. 123)
One atom of each set of equivalent atoms:
Ce (0.0000, 0.0000, 0.0000) x1  8 Tm 3.47, 4 Ce 3.49
Er (0.0000, 0.0000, 0.5000) x1  4 Er 3.49, 8 Tm 3.51
Tm (0.5000, 0.5000, 0.2473) x2  4 Ce 3.47, 4 Tm 3.49, 4 Er 3.51

---

No. 7
Computed, not measured: a relaxed structure of Pm3Ga3Ni2 at the PBE level of DFT.

Results
**Energy above the most stable polymorph in this dataset**: 0.0000 eV per atom
**ρ**: 7584 kg/m3
**ΔE_f**: -4.5 eV/f.u.

abc: 4.3780 10.2168 14.9115
angles: 90.00 90.00 90.00
Last column: nearest neighbours and their distance in Å.
Space group Cmcm (No. 63)
One atom of each set of equivalent atoms:
Pm (0.0000, 0.0892, 0.1071) x8  4 Ni 2.99-3.32, 7 Ga 3.07-3.28
Pm (0.0000, 0.3776, 0.2500) x4  5 Ga 3.01-3.15, 4 Ni 3.22
Ga (0.0000, 0.3243, 0.7500) x4  2 Ni 2.54
Ga (0.0000, 0.3725, 0.0387) x8  3 Ni 2.50-2.71
Ni (0.0000, 0.2036, 0.6013) x8  4 Ga 2.50-2.71

---

No. 8
Computed, not measured: a relaxed structure of HgOs2Ru at the PBE level of DFT.

Results
**ρ**: 17190 kg/m3
**ΔE_f**: 3.2 eV/f.u.

abc: 2.7760 4.6490 10.2114
angles: 90.00 90.00 90.00
Last column: nearest neighbours and their distance in Å.
Space group Imm2 (No. 44)
One atom of each set of equivalent atoms:
Hg (0.0000, 0.0000, 0.0000) x2  6 Os 2.72-3.04, 2 Hg 2.78
Os (0.0000, 0.0000, 0.4732) x2  4 Os 2.54-2.78, 4 Hg 2.72, 2 Ru 2.73
Os (0.0000, 0.5000, 0.7646) x2  4 Os 2.54-2.78, 4 Ru 2.78
Ru (0.0000, 0.5000, 0.2034) x2  6 Os 2.73-2.78, 2 Ru 2.78

---

No. 9
Computed, not measured: a relaxed structure of GdTiIr4 at the PBE level of DFT.

Results
**ρ**: 15625 kg/m3
**ΔE_f**: -3.2 eV/f.u.

abc: 7.4532 7.4532 7.4532
angles: 90.00 90.00 90.00
Last column: nearest neighbours and their distance in Å.
Space group F-43m (No. 216)
One atom of each set of equivalent atoms:
Gd (0.0000, 0.0000, 0.0000) x4  12 Ir 3.09, 4 Ti 3.23
Ti (0.2500, 0.2500, 0.7500) x4  12 Ir 3.09, 4 Gd 3.23
Ir (0.1248, 0.1248, 0.3752) x16  6 Ir 2.63-2.64

---

No. 10
Computed, not measured: a relaxed structure of BeGaO2 at the PBE level of DFT.

Results
**Energy above the most stable polymorph in this dataset**: 1.2517 eV per atom
**ρ**: 5003 kg/m3
**ΔE_f (raw)**: -0.474 eV per atom

abc: 5.2779 5.2779 5.2779
angles: 90.00 90.00 90.00
Last column: nearest neighbours and their distance in Å.
Space group Fm-3m (No. 225)
One atom of each set of equivalent atoms:
Be (0.0000, 0.0000, 0.0000) x4  8 O 2.29
Ga (0.0000, 0.0000, 0.5000) x4  8 O 2.29
O (0.2500, 0.2500, 0.2500) x8  4 Be 2.29, 4 Ga 2.29

---

No. 11
Computed, not measured: a relaxed structure of FeOsSe2 at the PBE level of DFT.

Results
**Energy above the most stable polymorph in this dataset**: 0.0000 eV per atom
**ρ**: 7696 kg/m3
**ΔE_f (raw)**: -0.015 eV per atom

abc: 3.7988 3.7982 6.0412
angles: 90.00 90.29 90.00
Last column: nearest neighbours and their distance in Å.
Space group Pm (No. 6)
One atom of each set of equivalent atoms:
Fe (0.0000, 0.0000, 0.0000) x1  4 Se 2.41, 4 Os 2.69
Os (0.5001, 0.5000, 0.0001) x1  4 Se 2.41, 4 Fe 2.69
Se (0.0021, 0.5000, 0.2450) x1  2 Os 2.41, 2 Fe 2.41
Se (0.4978, 0.0000, 0.7552) x1  2 Fe 2.41, 2 Os 2.41

---

Question: The lowest ρ belongs to which entry?
Answer: SrLaAsBr2

---

Question: Which of these has the highest ρ?
Answer: HgOs2Ru